The following is a DFT calculation (GGA-PBE) of crystalline Sc3Ga4Pd4 at its relaxed geometry.

a = 8.0462 Å, b = 8.0462 Å, c = 8.0462 Å
α = 151.09°, β = 128.51°, γ = 60.13°
Last column: nearest neighbours and their distance in Å.
Fractional positions:
Sc: 0.0000 0.0000 0.0000  6 Pd 2.92-2.95
Sc: 0.3769 0.8769 0.5000  6 Ga 2.95-3.18, 6 Pd 2.98-3.05
Sc: 0.6231 0.1231 0.5000  6 Ga 2.95-3.18, 6 Pd 2.98-3.05
Ga: 0.0338 0.3266 0.7071  4 Pd 2.50-2.60
Ga: 0.3805 0.6734 0.7071  4 Pd 2.50-2.60
Ga: 0.6195 0.3266 0.2929  4 Pd 2.50-2.60
Ga: 0.9662 0.6734 0.2929  4 Pd 2.50-2.60
Pd: 0.2119 0.2119 0.0000  6 Ga 2.53-2.60
Pd: 0.3025 0.5000 0.8025  2 Ga 2.50, 1 Pd 2.76
Pd: 0.6975 0.5000 0.1975  2 Ga 2.50, 1 Pd 2.76
Pd: 0.7881 0.7881 0.0000  6 Ga 2.53-2.60

Calculated values
Space-group type: No. 71

=====

The following is a DFT calculation (GGA-PBE) of crystalline HoTiCoNi at its relaxed geometry.

a = 4.4875 Å, b = 4.4875 Å, c = 4.4875 Å
α = 60.00°, β = 60.00°, γ = 60.00°
Last column: nearest neighbours and their distance in Å.
Fractional positions:
Ho: 0.0000 0.0000 0.0000  4 Co 2.75, 4 Ni 2.75
Ti: 0.5000 0.5000 0.5000  4 Co 2.75, 4 Ni 2.75
Co: 0.2500 0.2500 0.2500  4 Ho 2.75, 4 Ti 2.75
Ni: 0.7500 0.7500 0.7500  4 Ho 2.75, 4 Ti 2.75

Calculated values
Space-group type: No. 216

=====

no.,formation energy from the elements (meV per atom),density of states at the Fermi level (states/eV per atom)
1,-734,0.619
2,-201,1.147